No. 1
The following is a PBE calculation of a relaxed structure of BeZnCoB, from OQMD.

The structure in extended XYZ format:
```
4
Lattice="0.0000 2.6604 2.6604 2.6604 0.0000 2.6604 2.6604 2.6604 0.0000" Properties=species:S:1:pos:R:3 pbc="T T T"
Be 0.0000 0.0000 0.0000
Zn 1.3302 1.3302 1.3302
Co 2.6604 2.6604 2.6604
B 3.9907 3.9907 3.9907
```

Properties
- energy (eV per atom) = -4.373



No. 2
The following is a PBE calculation of a relaxed structure of TbTm2In3Pt2Au, from OQMD.

The structure in extended XYZ format:
```
9
Lattice="3.7759 0.0000 0.0000 0.0000 6.7354 3.8755 0.0000 -6.7354 3.8755" Properties=species:S:1:pos:R:3 pbc="T T T"
Tb 0.0000 0.0000 0.0000
Tm 0.0000 -2.7450 4.7359
Tm 0.0000 2.7450 4.7359
In 1.8880 -1.8220 2.1156
In 1.8880 1.8220 2.1156
In 1.8880 0.0000 5.2435
Pt 1.8880 -4.4667 3.1500
Pt 1.8880 4.4667 3.1500
Au 0.0000 0.0000 3.1627
```

Properties
- energy (eV per atom) = -5.040



No. 3
The following is a PBE calculation of a relaxed structure of RbTbGdTe3, from OQMD.

The structure in extended XYZ format:
```
12
Lattice="2.3904 -8.4059 0.0000 2.3904 8.4059 0.0000 0.0000 0.0000 11.8866" Properties=species:S:1:pos:R:3 pbc="T T T"
Rb 2.3904 4.2843 8.9150
Rb 2.3904 -4.2843 2.9717
Tb 2.3904 7.8536 2.9717
Tb 2.3904 -7.8536 8.9150
Gd 2.3904 0.0000 0.0000
Gd 2.3904 0.0000 5.9433
Te 2.3904 6.2918 0.4997
Te 2.3904 6.2918 5.4436
Te 2.3904 1.1790 2.9717
Te 2.3904 -1.1790 8.9150
Te 2.3904 -6.2918 6.4430
Te 2.3904 -6.2918 11.3869
```

Properties
- energy (eV per atom) = -4.501



No. 4
The following is a PBE calculation of a relaxed structure of Lu3Sc3FeTe2, from OQMD.

The structure in extended XYZ format:
```
9
Lattice="7.9595 0.0000 0.0000 -3.9798 6.8931 0.0000 0.0000 0.0000 3.8139" Properties=species:S:1:pos:R:3 pbc="T T T"
Lu -3.0341 5.2552 0.0000
Lu 0.9457 1.6380 0.0000
Lu 6.0682 0.0000 0.0000
Sc -1.5406 2.6685 1.9069
Sc 3.0813 0.0000 1.9069
Sc 2.4391 4.2246 1.9069
Fe 0.0000 0.0000 1.9069
Te 0.0000 4.5954 0.0000
Te 3.9798 2.2977 0.0000
```

Properties
- energy (eV per atom) = -5.805



No. 5
The following is a PBE calculation of a relaxed structure of KTbGeTe3, from OQMD.

The structure in extended XYZ format:
```
12
Lattice="2.3283 -7.7572 0.0000 2.3283 7.7572 0.0000 0.0000 0.0000 12.0265" Properties=species:S:1:pos:R:3 pbc="T T T"
K 2.3283 3.9492 9.0199
K 2.3283 -3.9492 3.0066
Tb 0.0000 0.0000 0.0000
Tb 0.0000 0.0000 6.0132
Ge 2.3283 0.5456 3.0066
Ge 2.3283 -0.5456 9.0199
Te 2.3283 6.6532 3.0066
Te 2.3283 2.0587 0.5725
Te 2.3283 2.0587 5.4407
Te 2.3283 -2.0587 6.5858
Te 2.3283 -2.0587 11.4539
Te 2.3283 -6.6532 9.0199
```

Properties
- energy (eV per atom) = -4.140



No. 6
The following is a PBE calculation of a relaxed structure of Nd2Y2CBr2Cl3, from OQMD.

The structure in extended XYZ format:
```
10
Lattice="8.9291 -1.9301 0.0000 8.9291 1.9301 0.0000 -1.8307 0.0000 7.9101" Properties=species:S:1:pos:R:3 pbc="T T T"
Nd -0.3907 0.0000 1.7005
Nd 16.4182 0.0000 6.2096
Y 4.7556 0.0000 7.3291
Y 11.2719 0.0000 0.5810
C 8.9291 0.0000 0.0000
Br 1.5865 0.0000 6.5916
Br 14.4410 0.0000 1.3185
Cl 2.3518 0.0000 2.5094
Cl 8.0138 0.0000 3.9550
Cl 13.6758 0.0000 5.4007
```

Properties
- energy (eV per atom) = -5.651